Version one
# TbPuC2 | the Alexandria database | GGA-PBE | relaxed
# Total moment   3.14 μB per formula unit
data_TbPuC2
_cell_length_a 3.5219
_cell_length_b 3.5219
_cell_length_c 17.5573
_cell_angle_alpha 90.00
_cell_angle_beta 90.00
_cell_angle_gamma 120.00
_space_group_name_H-M_alt 'R 3 m'
_space_group_IT_number 160
_space_group_name_Hall 'R 3 -2"'
loop_
_atom_site_label
_atom_site_fract_x
_atom_site_fract_y
_atom_site_fract_z
_atom_site_occupancy
Tb1 0.0000 0.0000 0.0000 1
Pu1 0.0000 0.0000 0.1689 1
C1 0.0000 0.0000 0.5758 1
C2 0.0000 0.0000 0.7637 1



Version two
# TbPuC2 | the Alexandria database | GGA-PBE | relaxed
# Total moment   3.09 μB per formula unit
data_TbPuC2
_cell_length_a 3.5771
_cell_length_b 3.5771
_cell_length_c 17.1166
_cell_angle_alpha 90.00
_cell_angle_beta 90.00
_cell_angle_gamma 120.00
_space_group_name_H-M_alt 'R -3 m'
_space_group_IT_number 166
_space_group_name_Hall '-R 3 2"'
loop_
_atom_site_label
_atom_site_fract_x
_atom_site_fract_y
_atom_site_fract_z
_atom_site_occupancy
Tb1 0.0000 0.0000 0.0000 1
Pu1 0.0000 0.0000 0.5000 1
C1 0.0000 0.0000 0.2382 1



It comes down to version two, which is 12.2 kJ/mol of atoms more stable than the next structure.



Version one
# PuTcC | the Alexandria database | GGA-PBE | relaxed
# Total moment   4.94 μB per formula unit
data_PuTcC
_cell_length_a 2.914
_cell_length_b 2.914
_cell_length_c 10.114
_cell_angle_alpha 90.00
_cell_angle_beta 90.00
_cell_angle_gamma 90.00
_space_group_name_H-M_alt 'I 4 m m'
_space_group_IT_number 107
_space_group_name_Hall 'I 4 -2'
loop_
_atom_site_label
_atom_site_fract_x
_atom_site_fract_y
_atom_site_fract_z
_atom_site_occupancy
Pu1 0.000 0.000 0.000 1
Tc1 0.000 0.000 0.274 1
C1 0.000 0.000 0.703 1



Version two
# PuTcC | the Alexandria database | GGA-PBE | relaxed
# Total moment   4.88 μB per formula unit
data_PuTcC
_cell_length_a 11.704
_cell_length_b 3.054
_cell_length_c 6.047
_cell_angle_alpha 90.00
_cell_angle_beta 120.32
_cell_angle_gamma 90.00
_space_group_name_H-M_alt 'C 1 2/m 1'
_space_group_IT_number 12
_space_group_name_Hall '-C 2y'
loop_
_atom_site_label
_atom_site_fract_x
_atom_site_fract_y
_atom_site_fract_z
_atom_site_occupancy
Pu1 0.042 0.000 0.280 1
Tc1 0.224 0.500 0.801 1
C1 0.140 0.500 0.039 1



Version three
# PuTcC | the Alexandria database | GGA-PBE | relaxed
# Total moment   5.45 μB per formula unit
data_PuTcC
_cell_length_a 3.4818
_cell_length_b 3.4818
_cell_length_c 4.6524
_cell_angle_alpha 90.00
_cell_angle_beta 90.00
_cell_angle_gamma 120.00
_space_group_name_H-M_alt 'P -6 m 2'
_space_group_IT_number 187
_space_group_name_Hall 'P -6 2'
loop_
_atom_site_label
_atom_site_fract_x
_atom_site_fract_y
_atom_site_fract_z
_atom_site_occupancy
Pu1 0.0000 0.0000 0.0000 1
Tc1 0.6667 0.3333 0.5000 1
C1 0.3333 0.6667 0.5000 1



It comes down to version two, which is 5.3 kJ/mol of atoms more stable than the next structure.



Version one
# PuTcC2 | the Alexandria database | GGA-PBE | relaxed
# Total moment   4.90 μB per formula unit
data_PuTcC2
_cell_length_a 3.562
_cell_length_b 4.887
_cell_length_c 6.249
_cell_angle_alpha 90.00
_cell_angle_beta 90.00
_cell_angle_gamma 90.00
_space_group_name_H-M_alt 'A m m 2'
_space_group_IT_number 38
_space_group_name_Hall 'A 2 -2'
loop_
_atom_site_label
_atom_site_fract_x
_atom_site_fract_y
_atom_site_fract_z
_atom_site_occupancy
Pu1 0.000 0.000 0.000 1
Tc1 0.500 0.000 0.391 1
C1 0.500 0.146 0.712 1



Version two
# PuTcC2 | the Alexandria database | GGA-PBE | relaxed
# Total moment   4.39 μB per formula unit
data_PuTcC2
_cell_length_a 3.2328
_cell_length_b 3.2328
_cell_length_c 16.1218
_cell_angle_alpha 90.00
_cell_angle_beta 90.00
_cell_angle_gamma 120.00
_space_group_name_H-M_alt 'R -3 m'
_space_group_IT_number 166
_space_group_name_Hall '-R 3 2"'
loop_
_atom_site_label
_atom_site_fract_x
_atom_site_fract_y
_atom_site_fract_z
_atom_site_occupancy
Pu1 0.0000 0.0000 0.0000 1
Tc1 0.0000 0.0000 0.5000 1
C1 0.0000 0.0000 0.2389 1



It comes down to version one, which is 0.9 kJ/mol of atoms more stable than the next structure.



Version one
# PuThC2 | the Alexandria database | GGA-PBE | relaxed
# Total moment   4.09 μB per formula unit
data_PuThC2
_cell_length_a 3.6707
_cell_length_b 3.6707
_cell_length_c 17.5898
_cell_angle_alpha 90.00
_cell_angle_beta 90.00
_cell_angle_gamma 120.00
_space_group_name_H-M_alt 'R -3 m'
_space_group_IT_number 166
_space_group_name_Hall '-R 3 2"'
loop_
_atom_site_label
_atom_site_fract_x
_atom_site_fract_y
_atom_site_fract_z
_atom_site_occupancy
Pu1 0.0000 0.0000 0.0000 1
Th1 0.0000 0.0000 0.5000 1
C1 0.0000 0.0000 0.2584 1



Version two
# PuThC2 | the Alexandria database | GGA-PBE | relaxed
# Total moment   4.17 μB per formula unit
data_PuThC2
_cell_length_a 3.5865
_cell_length_b 3.5865
_cell_length_c 6.0932
_cell_angle_alpha 90.00
_cell_angle_beta 90.00
_cell_angle_gamma 120.00
_space_group_name_H-M_alt 'P -3 m 1'
_space_group_IT_number 164
_space_group_name_Hall '-P 3 2"'
loop_
_atom_site_label
_atom_site_fract_x
_atom_site_fract_y
_atom_site_fract_z
_atom_site_occupancy
Pu1 0.0000 0.0000 0.0000 1
Th1 0.0000 0.0000 0.5000 1
C1 0.3333 0.6667 0.2325 1



Version three
# PuThC2 | the Alexandria database | GGA-PBE | relaxed
# Total moment   4.05 μB per formula unit
data_PuThC2
_cell_length_a 3.5942
_cell_length_b 3.5942
_cell_length_c 18.0164
_cell_angle_alpha 90.00
_cell_angle_beta 90.00
_cell_angle_gamma 120.00
_space_group_name_H-M_alt 'R 3 m'
_space_group_IT_number 160
_space_group_name_Hall 'R 3 -2"'
loop_
_atom_site_label
_atom_site_fract_x
_atom_site_fract_y
_atom_site_fract_z
_atom_site_occupancy
Pu1 0.0000 0.0000 0.0000 1
Th1 0.0000 0.0000 0.1658 1
C1 0.0000 0.0000 0.4104 1
C2 0.0000 0.0000 0.5918 1



It comes down to version one, which is 9.8 kJ/mol of atoms more stable than the next structure.